Below is Sm3ErSe6 after structural relaxation, with properties calculated at the PBE level.

Cell and atoms, written as extended XYZ:
```
20
Lattice="-0.143 1.186 -8.421 4.456 -7.185 -0.924 -7.325 -4.310 -0.319" Properties=species:S:1:pos:R:3 pbc="T T T"
Sm -1.477 -9.355 -4.708
Sm 0.079 -6.173 -8.588
Sm 1.927 -4.147 -2.629
Sm -4.940 -6.162 -7.035
Sm -3.091 -4.137 -1.076
Sm -1.535 -0.955 -4.956
Er 0.000 0.000 0.000
Er -1.506 -5.155 -4.832
Se 3.420 -6.551 -3.491
Se -0.971 -9.457 -1.796
Se 0.175 -7.143 -5.861
Se 2.305 -4.235 -8.388
Se -3.411 -7.200 -4.682
Se -0.632 -5.428 -2.187
Se -2.380 -4.881 -7.477
Se 0.399 -3.110 -4.982
Se -5.317 -6.075 -1.276
Se -3.187 -3.167 -3.803
Se -2.041 -0.852 -7.868
Se -6.432 -3.758 -6.173
```

Values from the calculation:
Total energy: -116.5 eV/cell
Formation energy (no corrections): -1.8601 eV/atom



Below is Sm3Er5Se12 after structural relaxation, with properties calculated at the PBE level.

Cell and atoms, written as extended XYZ:
```
80
Lattice="14.600 0.000 0.000 -4.867 13.765 0.000 -4.867 -6.882 11.920" Properties=species:S:1:pos:R:3 pbc="T T T"
Sm 8.516 4.301 1.490
Sm 8.516 9.463 1.490
Sm -1.217 6.022 7.450
Sm 1.217 -0.860 4.470
Sm 10.950 0.000 2.980
Sm 1.217 6.882 2.980
Sm 3.650 0.000 8.940
Sm -6.083 6.882 8.940
Sm 3.650 7.743 7.450
Sm 6.083 0.860 4.470
Sm -3.650 -2.581 10.430
Sm -3.650 2.581 10.430
Se 9.673 1.461 0.555
Se 0.060 4.653 4.973
Se 10.759 3.182 3.323
Se 6.273 2.154 1.543
Se 1.847 5.284 8.042
Se 10.233 6.821 2.082
Se -1.026 7.910 4.866
Se -3.840 11.610 1.543
Se 0.587 8.480 8.042
Se 6.800 6.944 2.082
Se 7.360 3.691 4.417
Se 7.360 12.303 0.555
Se -4.280 6.165 6.516
Se 2.933 5.110 1.094
Se -4.927 10.074 4.417
Se 2.494 -2.230 6.948
Se -0.587 0.881 2.637
Se 2.933 8.716 0.988
Se 6.273 10.583 3.323
Se -0.500 5.049 0.988
Se -3.020 7.763 9.283
Se 3.460 5.855 4.866
Se 6.713 7.599 6.516
Se 5.366 -1.772 10.827
Se 1.407 1.028 7.054
Se -1.847 -0.717 5.405
Se -0.500 8.654 1.094
Se -1.407 -3.700 8.597
Se 7.886 -0.881 2.637
Se 5.366 1.833 10.933
Se 1.933 -1.833 10.933
Se 2.373 9.112 4.973
Se 5.453 6.001 9.283
Se 9.793 -3.192 7.503
Se 9.146 0.717 5.405
Se -2.494 -5.421 11.365
Se 1.933 1.772 10.827
Se 4.280 -1.598 3.879
Se -1.933 -0.061 9.839
Se -2.494 3.192 7.503
Se 8.707 -4.728 10.377
Se 5.893 -1.028 7.054
Se -1.407 4.728 10.377
Se -5.366 0.061 9.839
Se 3.020 1.598 3.879
Se -5.893 3.700 8.597
Se 4.806 2.230 6.948
Se -4.806 5.421 11.365
Er -1.217 3.441 2.980
Er -2.433 6.882 0.000
Er 0.000 0.000 0.000
Er 3.650 2.581 1.490
Er 4.867 -3.441 5.960
Er 4.867 6.882 0.000
Er -3.650 7.743 4.470
Er 6.083 -4.301 10.430
Er 6.083 6.022 4.470
Er 1.217 -3.441 8.940
Er 3.650 10.323 2.980
Er 2.433 3.441 5.960
Er 7.300 0.000 0.000
Er -2.433 -3.441 5.960
Er -1.217 0.860 7.450
Er -1.217 11.184 1.490
Er -4.867 3.441 5.960
Er 8.516 -0.860 7.450
Er 1.217 4.301 10.430
Er 6.083 3.441 8.940
```

Values from the calculation:
Total energy: -450.7 eV/cell
Formation energy (no corrections): -1.6940 eV/atom